DyHo12Sc6: optimized geometry, PBE-GGA.

Unit cell a=14.5501 b=14.5501 c=9.7939 alpha=90.00 beta=90.00 gamma=120.00
Space group R-3m (No. 166, hexagonal axes)
Inequivalent atoms, fractional coordinates:
1 Dy 0.0000 0.0000 0.0000 [3 per cell]
2 Ho 0.0000 0.3880 0.5000 [18 per cell]
3 Ho 0.0747 0.1493 0.2965 [18 per cell]
4 Sc 0.0576 0.5288 0.2168 [18 per cell]

Properties
* energy relative to the lowest polymorph listed for this composition: 196 meV per atom
* total moment: 0.00 μB per formula unit
* energy of formation: 0.437 eV/atom
* energy: -0.3451 Ry per atom



DyHo2Sc: optimized geometry, PBE-GGA.

Unit cell a=7.8057 b=7.8057 c=7.8057 alpha=90.00 beta=90.00 gamma=90.00
Space group Fm-3m (No. 225)
Inequivalent atoms, fractional coordinates:
1 Dy 0.0000 0.0000 0.0000 [4 per cell]
2 Ho 0.2500 0.2500 0.2500 [8 per cell]
3 Sc 0.0000 0.0000 0.5000 [4 per cell]

Properties
* energy relative to the lowest polymorph listed for this composition: 112 meV per atom
* total moment: 0.02 μB per formula unit
* energy of formation: 0.140 eV/atom
* energy: -0.3589 Ry per atom



Dy3Ho12Sc: optimized geometry, PBE-GGA.

Unit cell a=4.9714 b=4.9714 c=19.8357 alpha=90.00 beta=90.00 gamma=90.00
Space group P4/mmm (No. 123)
Inequivalent atoms, fractional coordinates:
1 Dy 0.0000 0.0000 0.0000 [1 per cell]
2 Dy 0.0000 0.0000 0.2521 [2 per cell]
3 Ho 0.0000 0.5000 0.1264 [4 per cell]
4 Ho 0.0000 0.5000 0.3788 [4 per cell]
5 Ho 0.5000 0.5000 0.0000 [1 per cell]
6 Ho 0.5000 0.5000 0.2528 [2 per cell]
7 Ho 0.5000 0.5000 0.5000 [1 per cell]
8 Sc 0.0000 0.0000 0.5000 [1 per cell]

Properties
* total moment: 0.00 μB per formula unit
* energy of formation: 0.026 eV/atom
* energy: -0.3430 Ry per atom



Dy5Ho4Sc2: optimized geometry, PBE-GGA.

Unit cell a=23.2729 b=3.4652 c=8.4183 alpha=90.00 beta=94.87 gamma=90.00
Space group C2/m (No. 12)
Inequivalent atoms, fractional coordinates:
1 Dy 0.0000 0.0000 0.0000 [2 per cell]
2 Dy 0.1294 0.5000 0.0400 [4 per cell]
3 Dy 0.1824 0.5000 0.4764 [4 per cell]
4 Ho 0.0382 0.5000 0.3471 [4 per cell]
5 Ho 0.2245 0.0000 0.8265 [4 per cell]
6 Sc 0.0875 0.0000 0.6944 [4 per cell]

Properties
* energy relative to the lowest polymorph listed for this composition: 55 meV per atom
* total moment: 0.00 μB per formula unit
* energy of formation: 0.108 eV/atom
* energy: -0.3528 Ry per atom



Dy6HoSc: optimized geometry, PBE-GGA.

Unit cell a=6.4369 b=6.6927 c=6.7856 alpha=118.20 beta=102.45 gamma=91.88
Space group P-1 (No. 2)
Inequivalent atoms, fractional coordinates:
1 Dy 0.2273 0.4036 0.4679 [2 per cell]
2 Dy 0.2478 0.9410 0.9957 [2 per cell]
3 Dy 0.2620 0.9175 0.5095 [2 per cell]
4 Ho 0.5000 0.5000 0.0000 [1 per cell]
5 Sc 0.0000 0.5000 0.0000 [1 per cell]

Properties
* energy relative to the lowest polymorph listed for this composition: 176 meV per atom
* total moment: 0.00 μB per formula unit
* energy of formation: 0.208 eV/atom
* energy: -0.3386 Ry per atom



Dy8HoSc3: optimized geometry, PBE-GGA.

Unit cell a=5.7875 b=8.4002 c=8.6685 alpha=65.79 beta=73.64 gamma=71.56
Space group P1 (No. 1)
Inequivalent atoms, fractional coordinates:
1 Dy 0.0000 0.0000 0.0000 [1 per cell]
2 Dy 0.0226 0.7130 0.4210 [1 per cell]
3 Dy 0.1511 0.4819 0.1468 [1 per cell]
4 Dy 0.2150 0.2442 0.5715 [1 per cell]
5 Dy 0.3294 0.0246 0.2930 [1 per cell]
6 Dy 0.3563 0.7320 0.7144 [1 per cell]
7 Dy 0.5617 0.7334 0.0862 [1 per cell]
8 Dy 0.7914 0.9914 0.6547 [1 per cell]
9 Ho 0.8835 0.4686 0.8469 [1 per cell]
10 Sc 0.4578 0.2535 0.8791 [1 per cell]
11 Sc 0.6482 0.4651 0.4870 [1 per cell]
12 Sc 0.7138 0.2502 0.2535 [1 per cell]

Properties
* total moment: 0.00 μB per formula unit
* energy of formation: 0.079 eV/atom
* energy: -0.3641 Ry per atom